(1)
Compound: Y4MgZnCd2
Source: Alexandria
Functional: PBE-GGA
Structure: relaxed

The structure in POSCAR format:
```
Y4MgZnCd2
1.0
-4.9317 0.4321 -1.7968
-1.2073 -1.7381 -4.8227
-3.9049 -8.1502 1.0393
Zn Y Cd Mg
1 4 2 1
Direct
0.5000 0.5000 0.5000 Zn
0.6195 0.6195 0.1414 Y
0.1296 0.1296 0.6113 Y
0.8704 0.8704 0.3887 Y
0.3805 0.3805 0.8586 Y
0.2557 0.2557 0.2329 Cd
0.7443 0.7443 0.7671 Cd
0.0000 0.0000 0.0000 Mg
```

Values from the calculation:
mass density = 5.4 g cm⁻³
space group = R-3m, No. 166
E_form = -0.30 eV per atom

(2)
Compound: YMgZnCd
Source: Alexandria
Functional: PBE-GGA
Structure: relaxed

The structure in POSCAR format:
```
YMgZnCd
1.0
4.9776 0.0000 0.0000
2.4888 4.3107 0.0000
2.4888 1.4369 4.0642
Cd Y Mg Zn
1 1 1 1
Direct
0.0000 0.0000 0.0000 Cd
0.7500 0.7500 0.7500 Y
0.2500 0.2500 0.2500 Mg
0.5000 0.5000 0.5000 Zn
```

Values from the calculation:
mass density = 5.5 g cm⁻³
space group = F-43m, No. 216
E_form = -0.31 eV per atom

Which value of mass density does entry 2 give? 5.5 g cm⁻³

What is the E_form in the second record? -0.31 eV per atom

What is the formula in the second record? YMgZnCd

Which value of E_form does entry 1 give? -0.30 eV per atom